The following is a PBE-GGA calculation of an optimized crystal structure of TaCuRe2, from the Alexandria database.

Values from the calculation:
For the uncorrected energy, the calculation gives -10.09 eV per atom. For the energy above the most stable polymorph in this dataset, the calculation gives 64.3 meV/atom. The formation energy from the elements comes out at 0.5 eV/f.u. The calculated volume comes out at 60 Å³/cell.

The structure in CIF format:
```
data_TaCuRe2
_chemical_formula_sum 'Ta1 Cu1 Re2'
_cell_length_a 3.248
_cell_length_b 3.248
_cell_length_c 5.722
_cell_angle_alpha 90.00
_cell_angle_beta 90.00
_cell_angle_gamma 90.00
_space_group_name_H-M_alt 'P 4 m m'
_space_group_IT_number 99
loop_
_space_group_symop_operation_xyz
'x,y,z'
'-y,x,z'
'-x,-y,z'
'y,-x,z'
'-x,y,z'
'y,x,z'
'x,-y,z'
'-y,-x,z'
loop_
_atom_site_label
_atom_site_type_symbol
_atom_site_fract_x
_atom_site_fract_y
_atom_site_fract_z
Ta1 Ta 0.000 0.000 0.000
Cu1 Cu 0.500 0.500 0.240
Re1 Re 0.000 0.000 0.476
Re2 Re 0.500 0.500 0.727
```

---

The following is a PBE-GGA calculation of an optimized crystal structure of TaCuRe2, from the Alexandria database.

Values from the calculation:
For the uncorrected energy, the calculation gives -10.06 eV per atom. For the energy above the most stable polymorph in this dataset, the calculation gives 95.3 meV/atom. The formation energy from the elements comes out at 0.6 eV/f.u. The calculated volume comes out at 122 Å³/cell.

The structure in CIF format:
```
data_TaCuRe2
_chemical_formula_sum 'Ta2 Cu2 Re4'
_cell_length_a 3.179
_cell_length_b 4.363
_cell_length_c 8.822
_cell_angle_alpha 90.00
_cell_angle_beta 90.00
_cell_angle_gamma 90.00
_space_group_name_H-M_alt 'I m m m'
_space_group_IT_number 71
_space_group_name_Hall '-I 2 2'
loop_
_atom_site_label
_atom_site_type_symbol
_atom_site_fract_x
_atom_site_fract_y
_atom_site_fract_z
Ta1 Ta 0.000 0.000 0.000
Cu1 Cu 0.000 0.000 0.500
Re1 Re 0.000 0.500 0.255
```

---

The following is a PBE-GGA calculation of an optimized crystal structure of TaCuRe2, from the Alexandria database.

Values from the calculation:
For the uncorrected energy, the calculation gives -10.07 eV per atom. For the energy above the most stable polymorph in this dataset, the calculation gives 83.3 meV/atom. The formation energy from the elements comes out at 0.5 eV/f.u. The calculated volume comes out at 60 Å³/cell.

The structure in CIF format:
```
data_TaCuRe2
_chemical_formula_sum 'Ta1 Cu1 Re2'
_cell_length_a 3.251
_cell_length_b 3.251
_cell_length_c 5.721
_cell_angle_alpha 90.00
_cell_angle_beta 90.00
_cell_angle_gamma 90.00
_space_group_name_H-M_alt 'P 4/m m m'
_space_group_IT_number 123
_space_group_name_Hall '-P 4 2'
loop_
_atom_site_label
_atom_site_type_symbol
_atom_site_fract_x
_atom_site_fract_y
_atom_site_fract_z
Ta1 Ta 0.000 0.000 0.000
Cu1 Cu 0.000 0.000 0.500
Re1 Re 0.500 0.500 0.274
```

---

The following is a PBE-GGA calculation of an optimized crystal structure of TaCuRe4, from the Alexandria database.

Values from the calculation:
For the uncorrected energy, the calculation gives -10.73 eV per atom. The formation energy from the elements comes out at 1.4 eV/f.u. The calculated volume comes out at 390 Å³/cell.

The structure in CIF format:
```
data_TaCuRe4
_chemical_formula_sum 'Ta4 Cu4 Re16'
_cell_length_a 7.307
_cell_length_b 7.307
_cell_length_c 7.307
_cell_angle_alpha 90.00
_cell_angle_beta 90.00
_cell_angle_gamma 90.00
_space_group_name_H-M_alt 'F -4 3 m'
_space_group_IT_number 216
_space_group_name_Hall 'F -4 2 3'
loop_
_atom_site_label
_atom_site_type_symbol
_atom_site_fract_x
_atom_site_fract_y
_atom_site_fract_z
Ta1 Ta 0.000 0.000 0.000
Cu1 Cu 0.250 0.250 0.750
Re1 Re 0.124 0.124 0.376
```

---

The following is a PBE-GGA calculation of an optimized crystal structure of Ta2TiCuRe, from the Alexandria database.

Values from the calculation:
For the uncorrected energy, the calculation gives -8.37 eV per atom. The formation energy from the elements comes out at 6.3 eV/f.u. The calculated volume comes out at 111 Å³/cell.

The structure in CIF format:
```
data_Ta2TiCuRe
_chemical_formula_sum 'Ta2 Ti1 Cu1 Re1'
_cell_length_a 4.848
_cell_length_b 4.848
_cell_length_c 4.710
_cell_angle_alpha 90.00
_cell_angle_beta 90.00
_cell_angle_gamma 90.00
_space_group_name_H-M_alt 'P 4/m m m'
_space_group_IT_number 123
_space_group_name_Hall '-P 4 2'
loop_
_atom_site_label
_atom_site_type_symbol
_atom_site_fract_x
_atom_site_fract_y
_atom_site_fract_z
Ta1 Ta 0.000 0.500 0.000
Ti1 Ti 0.000 0.000 0.500
Cu1 Cu 0.500 0.500 0.500
Re1 Re 0.000 0.000 0.000
```

---

The following is a PBE-GGA calculation of an optimized crystal structure of TaTiCuRe, from the Alexandria database.

Values from the calculation:
For the uncorrected energy, the calculation gives -9.25 eV per atom. The formation energy from the elements comes out at -0.7 eV/f.u. The calculated volume comes out at 248 Å³/cell.

The structure in CIF format:
```
data_TaTiCuRe
_chemical_formula_sum 'Ta4 Ti4 Cu4 Re4'
_cell_length_a 6.286
_cell_length_b 6.286
_cell_length_c 6.286
_cell_angle_alpha 90.00
_cell_angle_beta 90.00
_cell_angle_gamma 90.00
_space_group_name_H-M_alt 'F -4 3 m'
_space_group_IT_number 216
_space_group_name_Hall 'F -4 2 3'
loop_
_atom_site_label
_atom_site_type_symbol
_atom_site_fract_x
_atom_site_fract_y
_atom_site_fract_z
Ta1 Ta 0.000 0.000 0.000
Ti1 Ti 0.000 0.000 0.500
Cu1 Cu 0.250 0.250 0.750
Re1 Re 0.250 0.250 0.250
```

---

The following is a PBE-GGA calculation of an optimized crystal structure of TaTlCu2Re, from the Alexandria database.

Values from the calculation:
For the uncorrected energy, the calculation gives -5.09 eV per atom. For the energy above the most stable polymorph in this dataset, the calculation gives 0.0 meV/atom. The formation energy from the elements comes out at 9.4 eV/f.u. The calculated volume comes out at 106 Å³/cell.

The structure in CIF format:
```
data_TaTlCu2Re
_chemical_formula_sum 'Ta1 Tl1 Cu2 Re1'
_cell_length_a 4.578
_cell_length_b 4.578
_cell_length_c 5.082
_cell_angle_alpha 90.00
_cell_angle_beta 90.00
_cell_angle_gamma 90.00
_space_group_name_H-M_alt 'P 4/m m m'
_space_group_IT_number 123
_space_group_name_Hall '-P 4 2'
loop_
_atom_site_label
_atom_site_type_symbol
_atom_site_fract_x
_atom_site_fract_y
_atom_site_fract_z
Ta1 Ta 0.000 0.000 0.000
Tl1 Tl 0.500 0.500 0.000
Cu1 Cu 0.000 0.500 0.500
Re1 Re 0.500 0.500 0.500
```

---

The following is a PBE-GGA calculation of an optimized crystal structure of TaTlCu2Re, from the Alexandria database.

Values from the calculation:
For the uncorrected energy, the calculation gives -4.98 eV per atom. For the energy above the most stable polymorph in this dataset, the calculation gives 116.6 meV/atom. The formation energy from the elements comes out at 10.0 eV/f.u. The calculated volume comes out at 105 Å³/cell.

The structure in CIF format:
```
data_TaTlCu2Re
_chemical_formula_sum 'Ta1 Tl1 Cu2 Re1'
_cell_length_a 4.522
_cell_length_b 4.522
_cell_length_c 5.133
_cell_angle_alpha 90.00
_cell_angle_beta 90.00
_cell_angle_gamma 90.00
_space_group_name_H-M_alt 'P 4/m m m'
_space_group_IT_number 123
_space_group_name_Hall '-P 4 2'
loop_
_atom_site_label
_atom_site_type_symbol
_atom_site_fract_x
_atom_site_fract_y
_atom_site_fract_z
Ta1 Ta 0.000 0.000 0.000
Tl1 Tl 0.500 0.500 0.500
Cu1 Cu 0.000 0.500 0.500
Re1 Re 0.500 0.500 0.000
```

---

The following is a PBE-GGA calculation of an optimized crystal structure of TaCu2ReW, from the Alexandria database.

Values from the calculation:
For the uncorrected energy, the calculation gives -6.75 eV per atom. The formation energy from the elements comes out at 11.7 eV/f.u. The calculated volume comes out at 99 Å³/cell.

The structure in CIF format:
```
data_TaCu2ReW
_chemical_formula_sum 'Ta1 Cu2 Re1 W1'
_cell_length_a 4.585
_cell_length_b 4.585
_cell_length_c 4.714
_cell_angle_alpha 90.00
_cell_angle_beta 90.00
_cell_angle_gamma 90.00
_space_group_name_H-M_alt 'P 4/m m m'
_space_group_IT_number 123
_space_group_name_Hall '-P 4 2'
loop_
_atom_site_label
_atom_site_type_symbol
_atom_site_fract_x
_atom_site_fract_y
_atom_site_fract_z
Ta1 Ta 0.000 0.000 0.000
Cu1 Cu 0.000 0.500 0.000
Re1 Re 0.500 0.500 0.500
W1 W 0.000 0.000 0.500
```

---

The following is a PBE-GGA calculation of an optimized crystal structure of ZrTaCuRe, from the Alexandria database.

Values from the calculation:
For the uncorrected energy, the calculation gives -9.35 eV per atom. The formation energy from the elements comes out at -0.5 eV/f.u. The calculated volume comes out at 271 Å³/cell.

The structure in CIF format:
```
data_ZrTaCuRe
_chemical_formula_sum 'Zr4 Ta4 Cu4 Re4'
_cell_length_a 6.474
_cell_length_b 6.474
_cell_length_c 6.474
_cell_angle_alpha 90.00
_cell_angle_beta 90.00
_cell_angle_gamma 90.00
_space_group_name_H-M_alt 'F -4 3 m'
_space_group_IT_number 216
_space_group_name_Hall 'F -4 2 3'
loop_
_atom_site_label
_atom_site_type_symbol
_atom_site_fract_x
_atom_site_fract_y
_atom_site_fract_z
Zr1 Zr 0.000 0.000 0.000
Ta1 Ta 0.000 0.000 0.500
Cu1 Cu 0.250 0.250 0.750
Re1 Re 0.250 0.250 0.250
```

---

The following is a PBE-GGA calculation of an optimized crystal structure of TbCuRe, from the Alexandria database.

Values from the calculation:
For the uncorrected energy, the calculation gives -6.87 eV per atom. The formation energy from the elements comes out at 0.6 eV/f.u. The calculated volume comes out at 231 Å³/cell.

The structure in CIF format:
```
data_TbCuRe
_chemical_formula_sum 'Tb4 Cu4 Re4'
_cell_length_a 10.738
_cell_length_b 3.249
_cell_length_c 6.650
_cell_angle_alpha 90.00
_cell_angle_beta 95.45
_cell_angle_gamma 90.00
_space_group_name_H-M_alt 'C 1 2/m 1'
_space_group_IT_number 12
loop_
_space_group_symop_operation_xyz
'x,y,z'
'-x,-y,-z'
'-x,y,-z'
'x,-y,z'
'x+1/2,y+1/2,z'
'-x+1/2,-y+1/2,-z'
'-x+1/2,y+1/2,-z'
'x+1/2,-y+1/2,z'
loop_
_atom_site_label
_atom_site_type_symbol
_atom_site_fract_x
_atom_site_fract_y
_atom_site_fract_z
Tb1 Tb 0.058 0.000 0.262
Cu1 Cu 0.214 0.000 0.644
Re1 Re 0.165 0.500 0.949
```

---

The following is a PBE-GGA calculation of an optimized crystal structure of Tb2CuRe, from the Alexandria database.

Values from the calculation:
For the uncorrected energy, the calculation gives -5.68 eV per atom. The formation energy from the elements comes out at 3.1 eV/f.u. The calculated volume comes out at 252 Å³/cell.

The structure in CIF format:
```
data_Tb2CuRe
_chemical_formula_sum 'Tb6 Cu3 Re3'
_cell_length_a 3.0554
_cell_length_b 3.0554
_cell_length_c 31.2289
_cell_angle_alpha 90.00
_cell_angle_beta 90.00
_cell_angle_gamma 120.00
_space_group_name_H-M_alt 'R -3 m'
_space_group_IT_number 166
_space_group_name_Hall '-R 3 2"'
loop_
_atom_site_label
_atom_site_type_symbol
_atom_site_fract_x
_atom_site_fract_y
_atom_site_fract_z
Tb1 Tb 0.0000 0.0000 0.0897
Cu1 Cu 0.0000 0.0000 0.5000
Re1 Re 0.0000 0.0000 0.0000
```

---

Q: Which value of calculated volume does entry 5 give?
A: 111 Å³/cell

---

Repeat the fifth record exactly.
The following is a PBE-GGA calculation of an optimized crystal structure of Ta2TiCuRe, from the Alexandria database.

Values from the calculation:
For the uncorrected energy, the calculation gives -8.37 eV per atom. The formation energy from the elements comes out at 6.3 eV/f.u. The calculated volume comes out at 111 Å³/cell.

The structure in CIF format:
```
data_Ta2TiCuRe
_chemical_formula_sum 'Ta2 Ti1 Cu1 Re1'
_cell_length_a 4.848
_cell_length_b 4.848
_cell_length_c 4.710
_cell_angle_alpha 90.00
_cell_angle_beta 90.00
_cell_angle_gamma 90.00
_space_group_name_H-M_alt 'P 4/m m m'
_space_group_IT_number 123
_space_group_name_Hall '-P 4 2'
loop_
_atom_site_label
_atom_site_type_symbol
_atom_site_fract_x
_atom_site_fract_y
_atom_site_fract_z
Ta1 Ta 0.000 0.500 0.000
Ti1 Ti 0.000 0.000 0.500
Cu1 Cu 0.500 0.500 0.500
Re1 Re 0.000 0.000 0.000
```

---

Q: Among the records above, which one has the highest formation energy from the elements?
A: TaCu2ReW

---

Q: Among the records above, which one has the highest calculated volume?
A: TaCuRe4